LiTcAu | PBEsol | optimized geometry

Cell: 2.7144 2.7144 7.0072 Å, 90.00 90.00 120.00°
Space group P3m1 (No. 156)
One atom of each set of equivalent atoms:
Li 0.0000 0.0000 0.0000 x1
Tc 0.3333 0.6667 0.6647 x1
Au 0.6667 0.3333 0.3226 x1

E_tot = -16.5 eV per cell
Energy relative to the lowest polymorph listed for this composition = 0 meV/atom
DFT formation energy = 0.6 eV per formula unit